[1]
! BaCa2Cd2 GGA-PBE optimized geometry; values from VASP
&SYSTEM
  ibrav = 0, nat = 5, ntyp = 3
/
ATOMIC_SPECIES
Ba 137.33 Ba.upf
Ca 40.08 Ca.upf
Cd 112.41 Cd.upf
CELL_PARAMETERS angstrom
-2.925 2.925 5.774
2.925 -2.925 5.774
2.925 2.925 -5.774
ATOMIC_POSITIONS crystal
Ba 0.000 0.000 0.000
Ca 0.346 0.346 0.000
Ca 0.654 0.654 0.000
Cd 0.250 0.750 0.500
Cd 0.750 0.250 0.500
! symmetry: I4/mmm (139)
! total magnetization: 0.000 μB per atom
! relative energy among the computed polymorphs: 140 meV per atom
! E_form: -9 kJ/mol of atoms
! uncorrected energy: -8.25 eV/f.u.

***

[2]
! NdTh2Pd2 GGA-PBE optimized geometry; values from VASP
&SYSTEM
  ibrav = 0, nat = 5, ntyp = 3
/
ATOMIC_SPECIES
Nd 144.24 Nd.upf
Th 232.04 Th.upf
Pd 106.42 Pd.upf
CELL_PARAMETERS angstrom
3.748 -3.748 0.000
3.748 3.748 0.000
-3.710 0.000 4.986
ATOMIC_POSITIONS crystal
Nd 0.000 0.000 0.000
Th 0.251 0.749 0.500
Th 0.749 0.251 0.500
Pd 0.366 0.366 0.736
Pd 0.634 0.634 0.264
! symmetry: C2/m (12)
! total magnetization: 0.000 μB per atom
! relative energy among the computed polymorphs: 185 meV per atom
! E_form: -38 kJ/mol of atoms
! uncorrected energy: -31.98 eV/f.u.

***

[3]
! BeH2I2 GGA-PBE optimized geometry; values from VASP
&SYSTEM
  ibrav = 0, nat = 10, ntyp = 3
/
ATOMIC_SPECIES
Be 9.01 Be.upf
H 1.01 H.upf
I 126.90 I.upf
CELL_PARAMETERS angstrom
0.000 3.134 14.745
2.275 0.000 14.745
2.275 3.134 0.000
ATOMIC_POSITIONS crystal
Be 0.125 0.125 0.125
Be 0.875 0.875 0.875
H 0.174 0.174 0.576
H 0.424 0.424 0.826
H 0.576 0.576 0.174
H 0.826 0.826 0.424
I 0.072 0.072 0.678
I 0.322 0.322 0.928
I 0.678 0.678 0.072
I 0.928 0.928 0.322
! symmetry: Fddd (70)
! total magnetization: 0.000 μB per atom
! uncorrected energy: -11.20 eV/f.u.

***

[4]
! Cu2PtS GGA-PBE optimized geometry; values from VASP
&SYSTEM
  ibrav = 0, nat = 8, ntyp = 3
/
ATOMIC_SPECIES
Cu 63.55 Cu.upf
Pt 195.08 Pt.upf
S 32.06 S.upf
CELL_PARAMETERS angstrom
-3.425 3.425 2.460
3.425 -3.425 2.460
3.425 3.425 -2.460
ATOMIC_POSITIONS crystal
Cu 0.088 0.625 0.963
Cu 0.375 0.338 0.463
Cu 0.662 0.125 0.037
Cu 0.875 0.912 0.537
Pt 0.250 0.750 0.500
Pt 0.500 0.500 0.000
S 0.000 0.000 0.000
S 0.750 0.250 0.500
! symmetry: I-42d (122)
! total magnetization: 0.000 μB per atom
! ΔE_f (raw): 0.087 eV per atom
! uncorrected energy: -18.01 eV/f.u.

***

[5]
! HfBiPd2I GGA-PBE optimized geometry; values from VASP
&SYSTEM
  ibrav = 0, nat = 5, ntyp = 4
/
ATOMIC_SPECIES
Hf 178.49 Hf.upf
Bi 208.98 Bi.upf
Pd 106.42 Pd.upf
I 126.90 I.upf
CELL_PARAMETERS angstrom
5.012 0.000 0.000
0.000 5.012 0.000
0.000 0.000 5.923
ATOMIC_POSITIONS crystal
Hf 0.000 0.000 0.000
Bi 0.000 0.000 0.500
Pd 0.000 0.500 0.000
Pd 0.500 0.000 0.000
I 0.500 0.500 0.500
! symmetry: P4/mmm (123)
! total magnetization: 0.000 μB per atom
! ΔE_f (raw): 0.582 eV per atom
! uncorrected energy: -22.86 eV/f.u.

***

[6]
! NbZnAs2Se GGA-PBE optimized geometry; values from VASP
&SYSTEM
  ibrav = 0, nat = 5, ntyp = 4
/
ATOMIC_SPECIES
Nb 92.91 Nb.upf
Zn 65.41 Zn.upf
As 74.92 As.upf
Se 78.96 Se.upf
CELL_PARAMETERS angstrom
4.695 0.000 0.000
0.000 4.695 0.000
0.000 0.000 4.840
ATOMIC_POSITIONS crystal
Nb 0.000 0.000 0.000
Zn 0.500 0.500 0.500
As 0.000 0.500 0.500
As 0.500 0.000 0.500
Se 0.500 0.500 0.000
! symmetry: P4/mmm (123)
! total magnetization: 0.000 μB per atom
! ΔE_f (raw): 0.890 eV per atom
! relative energy among the computed polymorphs: 652 meV per atom
! uncorrected energy: -19.68 eV/f.u.

***

[7]
! TaCoAg2 GGA-PBE optimized geometry; values from VASP
&SYSTEM
  ibrav = 0, nat = 8, ntyp = 3
/
ATOMIC_SPECIES
Ta 180.95 Ta.upf
Co 58.93 Co.upf
Ag 107.87 Ag.upf
CELL_PARAMETERS angstrom
-3.678 3.678 2.563
3.678 -3.678 2.563
3.678 3.678 -2.563
ATOMIC_POSITIONS crystal
Ta 0.000 0.000 0.000
Ta 0.750 0.250 0.500
Co 0.250 0.750 0.500
Co 0.500 0.500 0.000
Ag 0.157 0.625 0.032
Ag 0.375 0.407 0.532
Ag 0.593 0.125 0.968
Ag 0.875 0.843 0.468
! symmetry: I-42d (122)
! total magnetization: 0.340 μB per atom
! relative energy among the computed polymorphs: 734 meV per atom
! E_form: 86 kJ/mol of atoms
! uncorrected energy: -21.11 eV/f.u.

***

[8]
! ZrZnSbTe2 GGA-PBE optimized geometry; values from VASP
&SYSTEM
  ibrav = 0, nat = 5, ntyp = 4
/
ATOMIC_SPECIES
Zr 91.22 Zr.upf
Zn 65.41 Zn.upf
Sb 121.76 Sb.upf
Te 127.60 Te.upf
CELL_PARAMETERS angstrom
5.252 0.000 0.000
0.000 5.252 0.000
0.000 0.000 5.082
ATOMIC_POSITIONS crystal
Zr 0.000 0.000 0.000
Zn 0.500 0.500 0.500
Sb 0.500 0.500 0.000
Te 0.000 0.500 0.500
Te 0.500 0.000 0.500
! symmetry: P4/mmm (123)
! total magnetization: 0.149 μB per atom
! ΔE_f (raw): 0.488 eV per atom
! relative energy among the computed polymorphs: 385 meV per atom
! uncorrected energy: -17.79 eV/f.u.

***

[9]
! LiCe4Y3S8 GGA-PBE optimized geometry; values from VASP
&SYSTEM
  ibrav = 0, nat = 16, ntyp = 4
/
ATOMIC_SPECIES
Li 6.94 Li.upf
Ce 140.12 Ce.upf
Y 88.91 Y.upf
S 32.06 S.upf
CELL_PARAMETERS angstrom
3.949 2.280 6.532
-3.949 2.280 6.532
0.000 -4.560 6.532
ATOMIC_POSITIONS crystal
Li 0.000 0.000 0.000
Ce 0.000 0.000 0.500
Ce 0.000 0.500 0.000
Ce 0.500 0.000 0.000
Ce 0.500 0.500 0.500
Y 0.000 0.500 0.500
Y 0.500 0.000 0.500
Y 0.500 0.500 0.000
S 0.243 0.243 0.750
S 0.243 0.750 0.243
S 0.250 0.757 0.757
S 0.253 0.253 0.253
S 0.747 0.747 0.747
S 0.750 0.243 0.243
S 0.757 0.250 0.757
S 0.757 0.757 0.250
! symmetry: R-3m (166)
! total magnetization: 0.253 μB per atom
! ΔE_f (raw): -1.964 eV per atom
! uncorrected energy: -109.49 eV/f.u.

***

[10]
! Y4Cu5 GGA-PBE optimized geometry; values from VASP
&SYSTEM
  ibrav = 0, nat = 9, ntyp = 2
/
ATOMIC_SPECIES
Y 88.91 Y.upf
Cu 63.55 Cu.upf
CELL_PARAMETERS angstrom
-4.580 4.580 2.243
4.580 -4.580 2.243
4.580 4.580 -2.243
ATOMIC_POSITIONS crystal
Y 0.000 0.299 0.299
Y 0.000 0.701 0.701
Y 0.299 0.000 0.299
Y 0.701 0.000 0.701
Cu 0.000 0.000 0.000
Cu 0.364 0.364 0.728
Cu 0.364 0.636 0.000
Cu 0.636 0.364 0.000
Cu 0.636 0.636 0.272
! symmetry: I4/mmm (139)
! total magnetization: 0.000 μB per atom
! relative energy among the computed polymorphs: 7 meV per atom
! E_form: -5 kJ/mol of atoms
! uncorrected energy: -46.81 eV/f.u.

***

[11]
! V3Ru7 GGA-PBE optimized geometry; values from VASP
&SYSTEM
  ibrav = 0, nat = 10, ntyp = 2
/
ATOMIC_SPECIES
V 50.94 V.upf
Ru 101.07 Ru.upf
CELL_PARAMETERS angstrom
-2.045 2.681 6.295
2.045 -2.681 6.295
2.045 2.681 -6.295
ATOMIC_POSITIONS crystal
V 0.000 0.000 0.000
V 0.305 0.805 0.500
V 0.695 0.195 0.500
Ru 0.143 0.394 0.749
Ru 0.200 0.200 0.000
Ru 0.355 0.606 0.749
Ru 0.500 0.000 0.500
Ru 0.645 0.394 0.251
Ru 0.800 0.800 0.000
Ru 0.857 0.606 0.251
! symmetry: Immm (71)
! total magnetization: 0.000 μB per atom
! E_form: -11 kJ/mol of atoms
! uncorrected energy: -93.40 eV/f.u.

***

[12]
! CsLaAlS4 GGA-PBE optimized geometry; values from VASP
&SYSTEM
  ibrav = 0, nat = 14, ntyp = 4
/
ATOMIC_SPECIES
Cs 132.91 Cs.upf
La 138.91 La.upf
Al 26.98 Al.upf
S 32.06 S.upf
CELL_PARAMETERS angstrom
7.182 0.000 0.000
0.000 5.799 0.000
-2.414 0.000 9.742
ATOMIC_POSITIONS crystal
Cs 0.249 0.250 0.464
Cs 0.751 0.750 0.536
La 0.245 0.250 0.943
La 0.755 0.750 0.057
Al 0.250 0.750 0.168
Al 0.750 0.250 0.832
S 0.054 0.750 0.306
S 0.102 0.750 0.944
S 0.493 0.015 0.200
S 0.493 0.485 0.200
S 0.507 0.515 0.800
S 0.507 0.985 0.800
S 0.898 0.250 0.056
S 0.946 0.250 0.694
! symmetry: P2_1/m (11)
! total magnetization: 0.004 μB per atom
! ΔE_f (raw): -1.461 eV per atom
! uncorrected energy: -36.26 eV/f.u.